VASP calculation (PBE) on crystalline Rb2TlCdAs at its relaxed geometry.

extended XYZ file:
```
5
Lattice="-0.983 -6.677 -0.641 5.590 -0.458 -3.808 3.087 -0.900 4.641" Properties=species:S:1:pos:R:3 pbc="T T T"
Rb 2.795 -0.229 -1.904
Cd 3.847 -4.017 0.096
Rb -0.492 -3.338 -0.320
Tl 1.544 -0.450 2.320
As 0.000 0.000 0.000
```

Results
- D(E_F) (states/eV per atom) = 0.555
- final energy (eV/atom) = -2.00
- symmetry = P4/mmm
- energy of formation (eV per formula unit) = -0.1

---

VASP calculation (PBE) on crystalline RbTl2CdAs at its relaxed geometry.

extended XYZ file:
```
5
Lattice="5.646 0.000 0.000 0.000 6.652 0.000 0.000 0.000 5.646" Properties=species:S:1:pos:R:3 pbc="T T T"
Cd 2.823 3.326 2.823
As 0.000 0.000 0.000
Tl 2.823 0.000 0.000
Tl 0.000 0.000 2.823
Rb 0.000 3.326 0.000
```

Results
- D(E_F) (states/eV per atom) = 0.710
- final energy (eV/atom) = -2.11
- symmetry = P4/mmm
- energy of formation (eV per formula unit) = 0.7

---

VASP calculation (PBE) on crystalline Rb2ZnCdAs at its relaxed geometry.

extended XYZ file:
```
5
Lattice="6.876 0.000 0.000 0.000 6.876 0.000 0.000 0.000 4.803" Properties=species:S:1:pos:R:3 pbc="T T T"
As 0.000 0.000 0.000
Cd 3.438 3.438 2.402
Rb 0.000 3.438 0.000
Zn 0.000 0.000 2.402
Rb 3.438 0.000 0.000
```

Results
- D(E_F) (states/eV per atom) = 0.438
- final energy (eV/atom) = -1.83
- symmetry = P4/mmm
- energy of formation (eV per formula unit) = -0.4

---

VASP calculation (PBE) on crystalline Rb2ZnCdAs2 at its relaxed geometry.

extended XYZ file:
```
12
Lattice="-6.093 -1.561 1.437 1.719 -1.098 6.099 0.586 9.316 -1.878" Properties=species:S:1:pos:R:3 pbc="T T T"
Rb -1.748 4.288 4.656
Rb -2.039 2.369 1.001
Rb -4.296 1.021 4.786
As -1.085 0.494 3.785
Zn -1.757 -1.604 5.292
As -2.702 6.162 1.872
Cd 0.430 -0.275 1.525
Rb 0.509 5.636 0.871
Zn -2.616 -1.055 2.243
Cd 1.290 -0.824 4.574
As 0.949 6.328 4.263
As -4.736 0.328 1.394
```

Results
- D(E_F) (states/eV per atom) = 0.051
- final energy (eV/atom) = -2.63
- symmetry = Ibam
- energy of formation (eV per formula unit) = -2.4

---

VASP calculation (PBE) on crystalline RbZnCdAs at its relaxed geometry.

extended XYZ file:
```
8
Lattice="4.171 0.000 0.000 0.000 4.171 0.000 0.000 0.000 14.023" Properties=species:S:1:pos:R:3 pbc="T T T"
As 1.043 1.043 1.534
Zn 3.128 1.043 0.000
Rb 1.043 1.043 10.677
As 3.128 3.128 12.489
Rb 3.128 3.128 3.346
Cd 1.043 3.128 7.011
Zn 1.043 3.128 0.000
Cd 3.128 1.043 7.011
```

Results
- D(E_F) (states/eV per atom) = 0.411
- final energy (eV/atom) = -2.21
- symmetry = P4/nmm
- energy of formation (eV per formula unit) = -1.0

---

VASP calculation (PBE) on crystalline CdReAs2 at its relaxed geometry.

extended XYZ file:
```
4
Lattice="5.313 -0.006 0.000 2.367 4.757 0.000 -3.840 -2.375 2.801" Properties=species:S:1:pos:R:3 pbc="T T T"
Re 2.657 -0.003 1.400
Cd 3.840 2.375 0.000
As 0.000 0.000 0.000
As 1.183 2.379 1.400
```

Results
- D(E_F) (states/eV per atom) = 0.926
- final energy (eV/atom) = -4.92
- symmetry = I-4m2
- energy of formation (eV per formula unit) = 3.0

---

VASP calculation (PBE) on crystalline CdReAs2 at its relaxed geometry.

extended XYZ file:
```
4
Lattice="-4.813 5.111 -4.801 -4.148 1.448 -7.283 2.624 -4.127 6.959" Properties=species:S:1:pos:R:3 pbc="T T T"
As -3.583 2.313 -2.277
Re -2.559 -0.024 -2.585
As -0.740 0.541 -0.997
Cd -3.936 2.880 -5.307
```

Results
- D(E_F) (states/eV per atom) = 0.579
- final energy (eV/atom) = -5.46
- symmetry = Imm2
- energy of formation (eV per formula unit) = 0.8

---

VASP calculation (PBE) on crystalline CdReAs2 at its relaxed geometry.

extended XYZ file:
```
8
Lattice="6.015 0.000 0.000 0.000 6.015 0.000 3.007 3.007 5.653" Properties=species:S:1:pos:R:3 pbc="T T T"
Re 6.015 3.007 2.826
As 7.519 7.822 4.240
As 4.511 4.208 4.240
Cd 3.007 6.015 2.826
As 4.815 1.504 1.413
Re 0.000 0.000 0.000
As 1.200 4.511 1.413
Cd 3.007 3.007 0.000
```

Results
- D(E_F) (states/eV per atom) = 0.672
- final energy (eV/atom) = -5.29
- symmetry = I-42d
- energy of formation (eV per formula unit) = 1.5